1.
# ZrICl2

A relaxed ZrICl2 crystal (PBE-GGA, the Open Quantum Materials Database).

Structure (POSCAR):
```
ZrICl2
1.0
5.827 -3.671 0.000
5.827 3.671 0.000
0.000 0.000 6.230
Cl Zr I
4 2 2
Cartesian
7.601 -1.013 1.557 Cl
4.053 1.013 4.672 Cl
7.601 1.013 4.672 Cl
4.053 -1.013 1.557 Cl
5.827 0.000 3.115 Zr
5.827 0.000 0.000 Zr
5.827 -2.465 4.672 I
5.827 2.465 1.557 I
```

Values from the calculation:
E_tot	-4.91	eV/atom
space group	No. 63
mass density	3602	kg/m3
offset from the most stable computed form	2	meV/atom

2.
# FeCuNiPb

A relaxed FeCuNiPb crystal (PBE-GGA, the Open Quantum Materials Database).

Structure (POSCAR):
```
FeCuNiPb
1.0
0.000 3.034 3.034
3.034 0.000 3.034
3.034 3.034 0.000
Pb Cu Ni Fe
1 1 1 1
Cartesian
0.000 0.000 0.000 Pb
3.034 3.034 3.034 Cu
1.517 1.517 1.517 Ni
4.551 4.551 4.551 Fe
```

Values from the calculation:
E_tot	-4.95	eV/atom
space group	No. 216
mass density	11452	kg/m3
offset from the most stable computed form	24	meV/atom

3.
# DySnPdPt

A relaxed DySnPdPt crystal (PBE-GGA, the Open Quantum Materials Database).

Structure (POSCAR):
```
DySnPdPt
1.0
-3.301 -3.169 0.166
4.160 -0.937 1.669
-2.544 3.072 8.066
Pd Dy Pt Sn
2 2 2 2
Cartesian
-0.010 0.351 6.503 Pd
0.812 -0.641 3.899 Pd
-1.272 1.536 4.033 Dy
1.673 -1.681 1.168 Dy
-0.417 0.503 1.322 Pt
-2.127 2.568 6.745 Pt
-2.723 -0.120 6.721 Sn
-1.448 -1.659 2.679 Sn
```

Values from the calculation:
E_tot	-5.92	eV/atom
space group	No. 187
mass density	11843	kg/m3
offset from the most stable computed form	9	meV/atom

4.
# HfAgAsO

A relaxed HfAgAsO crystal (PBE-GGA, the Open Quantum Materials Database).

Structure (POSCAR):
```
HfAgAsO
1.0
-0.086 1.187 3.505
0.620 -3.452 1.184
9.071 1.528 -0.294
Hf O As Ag
2 2 2 2
Cartesian
7.854 1.924 1.497 Hf
1.484 -1.528 0.554 Hf
0.000 0.000 0.000 O
0.267 -1.132 2.345 O
2.424 1.009 1.673 As
6.913 -0.613 0.378 As
4.802 -0.368 2.198 Ag
4.536 0.764 -0.147 Ag
```

Values from the calculation:
E_tot	-6.98	eV/atom
space group	No. 129
mass density	9935	kg/m3
offset from the most stable computed form	0	meV/atom

5.
# ReAgAsO

A relaxed ReAgAsO crystal (PBE-GGA, the Open Quantum Materials Database).

Structure (POSCAR):
```
ReAgAsO
1.0
3.803 0.000 0.000
0.000 6.182 0.000
0.000 0.000 6.011
O As Re Ag
2 2 2 2
Cartesian
1.902 1.530 2.641 O
1.902 4.652 5.647 O
0.000 5.289 2.057 As
0.000 0.893 5.063 As
0.000 4.727 5.711 Re
0.000 1.455 2.705 Re
1.902 2.214 0.135 Ag
1.902 3.968 3.140 Ag
```

Values from the calculation:
E_tot	-6.28	eV/atom
space group	No. 26
mass density	9047	kg/m3
offset from the most stable computed form	127	meV/atom

6.
# Ac

A relaxed Ac crystal (PBE-GGA, the Open Quantum Materials Database).

Structure (POSCAR):
```
Ac
1.0
-2.291 -1.497 2.914
1.820 -2.459 -2.574
7.787 -0.419 5.908
Ac
3
Cartesian
-0.308 -2.590 0.223 Ac
5.820 -1.128 3.050 Ac
1.805 -0.656 2.975 Ac
```

Values from the calculation:
formation enthalpy at 0 K	1.3	kJ per mole of atoms
E_tot	-4.09	eV/atom
space group	No. 152
mass density	8350	kg/m3
offset from the most stable computed form	13	meV/atom

7.
# NdAlSnPd2

A relaxed NdAlSnPd2 crystal (PBE-GGA, the Open Quantum Materials Database).

Structure (POSCAR):
```
NdAlSnPd2
1.0
4.467 0.000 0.000
0.000 4.467 0.000
0.000 0.000 10.495
Al Pd Sn Nd
2 4 2 2
Cartesian
0.000 0.000 5.248 Al
2.234 2.234 5.248 Al
0.000 2.234 6.409 Pd
2.234 0.000 4.086 Pd
2.234 2.234 0.000 Pd
0.000 0.000 0.000 Pd
2.234 0.000 1.478 Sn
0.000 2.234 9.017 Sn
0.000 2.234 2.638 Nd
2.234 0.000 7.857 Nd
```

Values from the calculation:
E_tot	-5.40	eV/atom
space group	No. 129
mass density	7973	kg/m3